No. 1
First-principles (PBE) data for BaLi2PrBi2 after structural relaxation, as listed in the Alexandria database.

Structure (POSCAR):
```
BaLi2PrBi2
1.0
4.9633 0.0000 0.0000
-2.4817 4.2984 0.0000
0.0000 0.0000 8.4563
Ba Li Pr Bi
1 2 1 2
Cartesian
0.0000 0.0000 0.0000
0.0000 2.8656 5.8978
2.4817 1.4328 2.5585
0.0000 0.0000 4.2281
0.0000 2.8656 2.3254
2.4817 1.4328 6.1309
```

Output
The energy of formation comes out at -753 meV per atom. The total moment comes out at 0.00 μB/atom.

=====

No. 2
First-principles (PBE) data for Ba2LiBiPt after structural relaxation, as listed in the Alexandria database.

Structure (POSCAR):
```
Ba2LiBiPt
1.0
6.1044 0.0000 0.0000
0.0000 6.1044 0.0000
0.0000 0.0000 4.8827
Ba Li Bi Pt
2 1 1 1
Cartesian
0.0000 3.0522 0.0000
3.0522 0.0000 0.0000
0.0000 0.0000 2.4413
3.0522 3.0522 2.4413
0.0000 0.0000 0.0000
```

Output
The energy of formation comes out at -642 meV per atom. The total moment comes out at 0.00 μB/atom.

=====

No. 3
First-principles (PBE) data for Ba2LiBi4Pt3 after structural relaxation, as listed in the Alexandria database.

Structure (POSCAR):
```
Ba2LiBi4Pt3
1.0
4.9424 0.0000 0.0000
0.0000 4.9424 0.0000
0.0000 0.0000 11.2238
Ba Li Bi Pt
2 1 4 3
Cartesian
0.0000 2.4712 2.7053
2.4712 0.0000 8.5185
2.4712 2.4712 0.0000
0.0000 0.0000 5.6119
0.0000 2.4712 9.7924
2.4712 0.0000 1.4314
2.4712 2.4712 5.6119
0.0000 0.0000 0.0000
0.0000 2.4712 7.0057
2.4712 0.0000 4.2181
```

Output
The energy of formation comes out at -653 meV per atom. The total moment comes out at 0.00 μB/atom.